Below is Hg3As after structural relaxation, with properties calculated at the PBE level.

The structure in CIF format:
```
data_Hg3As
_space_group_name_H-M_alt 'P -6 m 2'
_space_group_IT_number 187
_space_group_name_Hall 'P -6 2'
_cell_length_a 3.0605
_cell_length_b 3.0605
_cell_length_c 12.1388
_cell_angle_alpha 90.00
_cell_angle_beta 90.00
_cell_angle_gamma 120.00
loop_
_atom_site_label
_atom_site_type_symbol
_atom_site_fract_x
_atom_site_fract_y
_atom_site_fract_z
Hg1 Hg 0.0000 0.0000 0.0000
Hg2 Hg 0.6667 0.3333 0.2675
As1 As 0.0000 0.0000 0.5000
```

## Properties
* D(E_F): 0.3275 states/eV per atom

---

Below is HgAs after structural relaxation, with properties calculated at the PBE level.

The structure in CIF format:
```
data_HgAs
_space_group_name_H-M_alt 'C 1 m 1'
_space_group_IT_number 8
_cell_length_a 13.4016
_cell_length_b 3.7387
_cell_length_c 7.2843
_cell_angle_alpha 90.00
_cell_angle_beta 122.35
_cell_angle_gamma 90.00
loop_
_space_group_symop_operation_xyz
'x,y,z'
'x,-y,z'
'x+1/2,y+1/2,z'
'x+1/2,-y+1/2,z'
loop_
_atom_site_label
_atom_site_type_symbol
_atom_site_fract_x
_atom_site_fract_y
_atom_site_fract_z
Hg1 Hg 0.0000 0.0000 0.0000
Hg2 Hg 0.0010 0.5000 0.5412
Hg3 Hg 0.1940 0.0000 0.8781
As1 As 0.1992 0.5000 0.3764
As2 As 0.3007 0.0000 0.6466
As3 As 0.3208 0.5000 0.2109
```

## Properties
* D(E_F): 0.3600 states/eV per atom

---

Below is HgAs after structural relaxation, with properties calculated at the PBE level.

The structure in CIF format:
```
data_HgAs
_space_group_name_H-M_alt 'P m n 21'
_space_group_IT_number 31
_cell_length_a 11.0718
_cell_length_b 4.6173
_cell_length_c 6.0740
_cell_angle_alpha 90.00
_cell_angle_beta 90.00
_cell_angle_gamma 90.00
loop_
_space_group_symop_operation_xyz
'x,y,z'
'-x+1/2,-y,z+1/2'
'-x,y,z'
'x+1/2,-y,z+1/2'
loop_
_atom_site_label
_atom_site_type_symbol
_atom_site_fract_x
_atom_site_fract_y
_atom_site_fract_z
Hg1 Hg 0.0000 0.0537 0.0000
Hg2 Hg 0.1996 0.4234 0.2703
As1 As 0.0000 0.8210 0.4024
As2 As 0.1599 0.0463 0.6548
```

## Properties
* D(E_F): 0.4544 states/eV per atom

---

Below is HgAs after structural relaxation, with properties calculated at the PBE level.

The structure in CIF format:
```
data_HgAs
_space_group_name_H-M_alt 'I 4/m'
_space_group_IT_number 87
_space_group_name_Hall '-I 4'
_cell_length_a 11.9633
_cell_length_b 11.9633
_cell_length_c 3.7818
_cell_angle_alpha 90.00
_cell_angle_beta 90.00
_cell_angle_gamma 90.00
loop_
_atom_site_label
_atom_site_type_symbol
_atom_site_fract_x
_atom_site_fract_y
_atom_site_fract_z
Hg1 Hg 0.0047 0.2954 0.0000
As1 As 0.1815 0.2830 0.5000
```

## Properties
* D(E_F): 0.3466 states/eV per atom

---

Below is Hg5As3 after structural relaxation, with properties calculated at the PBE level.

The structure in CIF format:
```
data_Hg5As3
_space_group_name_H-M_alt 'C 1 m 1'
_space_group_IT_number 8
_cell_length_a 5.6024
_cell_length_b 17.5282
_cell_length_c 8.9706
_cell_angle_alpha 90.00
_cell_angle_beta 95.08
_cell_angle_gamma 90.00
loop_
_space_group_symop_operation_xyz
'x,y,z'
'x,-y,z'
'x+1/2,y+1/2,z'
'x+1/2,-y+1/2,z'
loop_
_atom_site_label
_atom_site_type_symbol
_atom_site_fract_x
_atom_site_fract_y
_atom_site_fract_z
Hg1 Hg 0.0000 0.0000 0.0000
Hg2 Hg 0.0078 0.5000 0.8465
Hg3 Hg 0.0426 0.1158 0.5092
Hg4 Hg 0.0619 0.4140 0.2758
Hg5 Hg 0.0654 0.3108 0.6725
Hg6 Hg 0.0896 0.1762 0.9725
As1 As 0.0467 0.2579 0.4004
As2 As 0.0612 0.0000 0.6997
As3 As 0.0848 0.3494 0.9536
As4 As 0.1012 0.0000 0.2887
```

## Properties
* D(E_F): 0.1797 states/eV per atom

---

Below is HgAs after structural relaxation, with properties calculated at the PBE level.

The structure in CIF format:
```
data_HgAs
_space_group_name_H-M_alt 'F d d d'
_space_group_IT_number 70
_cell_length_a 6.7226
_cell_length_b 8.8878
_cell_length_c 16.0627
_cell_angle_alpha 90.00
_cell_angle_beta 90.00
_cell_angle_gamma 90.00
loop_
_space_group_symop_operation_xyz
'x,y,z'
'-x,-y,-z'
'-x+1/4,-y+1/4,z'
'x+1/4,y+1/4,-z'
'x,-y+1/4,-z+1/4'
'-x,y+1/4,z+1/4'
'-x+1/4,y,-z+1/4'
'x+1/4,-y,z+1/4'
'x,y+1/2,z+1/2'
'-x,-y+1/2,-z+1/2'
'-x+1/4,-y+3/4,z+1/2'
'x+1/4,y+3/4,-z+1/2'
'x,-y+3/4,-z+3/4'
'-x,y+3/4,z+3/4'
'-x+1/4,y+1/2,-z+3/4'
'x+1/4,-y+1/2,z+3/4'
'x+1/2,y,z+1/2'
'-x+1/2,-y,-z+1/2'
'-x+3/4,-y+1/4,z+1/2'
'x+3/4,y+1/4,-z+1/2'
'x+1/2,-y+1/4,-z+3/4'
'-x+1/2,y+1/4,z+3/4'
'-x+3/4,y,-z+3/4'
'x+3/4,-y,z+3/4'
'x+1/2,y+1/2,z'
'-x+1/2,-y+1/2,-z'
'-x+3/4,-y+3/4,z'
'x+3/4,y+3/4,-z'
'x+1/2,-y+3/4,-z+1/4'
'-x+1/2,y+3/4,z+1/4'
'-x+3/4,y+1/2,-z+1/4'
'x+3/4,-y+1/2,z+1/4'
loop_
_atom_site_label
_atom_site_type_symbol
_atom_site_fract_x
_atom_site_fract_y
_atom_site_fract_z
Hg1 Hg 0.1250 0.3122 0.1250
As1 As 0.1250 0.1250 0.4929
```

## Properties
* D(E_F): 0.1345 states/eV per atom

---

Below is Hg3As after structural relaxation, with properties calculated at the PBE level.

The structure in CIF format:
```
data_Hg3As
_space_group_name_H-M_alt 'P 4/m m m'
_space_group_IT_number 123
_space_group_name_Hall '-P 4 2'
_cell_length_a 2.9533
_cell_length_b 2.9533
_cell_length_c 11.3137
_cell_angle_alpha 90.00
_cell_angle_beta 90.00
_cell_angle_gamma 90.00
loop_
_atom_site_label
_atom_site_type_symbol
_atom_site_fract_x
_atom_site_fract_y
_atom_site_fract_z
Hg1 Hg 0.0000 0.0000 0.0000
Hg2 Hg 0.5000 0.5000 0.2611
As1 As 0.0000 0.0000 0.5000
```

## Properties
* D(E_F): 0.5053 states/eV per atom

---

Below is HgAs after structural relaxation, with properties calculated at the PBE level.

The structure in CIF format:
```
data_HgAs
_space_group_name_H-M_alt 'C 1 2/m 1'
_space_group_IT_number 12
_cell_length_a 6.2109
_cell_length_b 3.6139
_cell_length_c 10.9611
_cell_angle_alpha 90.00
_cell_angle_beta 103.33
_cell_angle_gamma 90.00
loop_
_space_group_symop_operation_xyz
'x,y,z'
'-x,-y,-z'
'-x,y,-z'
'x,-y,z'
'x+1/2,y+1/2,z'
'-x+1/2,-y+1/2,-z'
'-x+1/2,y+1/2,-z'
'x+1/2,-y+1/2,z'
loop_
_atom_site_label
_atom_site_type_symbol
_atom_site_fract_x
_atom_site_fract_y
_atom_site_fract_z
Hg1 Hg 0.2203 0.0000 0.1385
As1 As 0.1934 0.0000 0.5657
```

---

Below is HgAs after structural relaxation, with properties calculated at the PBE level.

The structure in CIF format:
```
data_HgAs
_space_group_name_H-M_alt 'C m c m'
_space_group_IT_number 63
_space_group_name_Hall '-C 2c 2'
_cell_length_a 3.9271
_cell_length_b 5.7326
_cell_length_c 8.1560
_cell_angle_alpha 90.00
_cell_angle_beta 90.00
_cell_angle_gamma 90.00
loop_
_atom_site_label
_atom_site_type_symbol
_atom_site_fract_x
_atom_site_fract_y
_atom_site_fract_z
Hg1 Hg 0.0000 0.0000 0.0000
As1 As 0.0000 0.3627 0.2500
```

## Properties
* D(E_F): 0.2411 states/eV per atom

---

Below is HgAs after structural relaxation, with properties calculated at the PBE level.

The structure in CIF format:
```
data_HgAs
_space_group_name_H-M_alt 'P 1 21/m 1'
_space_group_IT_number 11
_cell_length_a 5.6772
_cell_length_b 3.6554
_cell_length_c 5.7073
_cell_angle_alpha 90.00
_cell_angle_beta 119.76
_cell_angle_gamma 90.00
loop_
_space_group_symop_operation_xyz
'x,y,z'
'-x,-y,-z'
'-x,y+1/2,-z'
'x,-y+1/2,z'
loop_
_atom_site_label
_atom_site_type_symbol
_atom_site_fract_x
_atom_site_fract_y
_atom_site_fract_z
Hg1 Hg 0.2382 0.2500 0.3708
As1 As 0.3240 0.2500 0.9132
```

## Properties
* D(E_F): 0.5015 states/eV per atom

---

no.,energy above the lowest structure with this stoichiometry (meV per atom)
1,160
2,124
3,245
4,182
5,0
6,162
7,129
8,2
9,368
10,97